The following is a PBE calculation of an optimized crystal structure of Mn2InSe, from the Alexandria database.

formation energy without anion corrections = 0.239 eV per atom
energy above the most stable polymorph in this dataset = 213 meV/atom
total magnetization = 31.59 μB per cell
E = -0.43376 Ry/atom

Unit cell a=7.2872 b=7.2872 c=6.0743 alpha=90.00 beta=90.00 gamma=90.00
Last column: nearest neighbours and their distance in Å.
Space group I-42d (No. 122)
Asymmetric unit:
1 Mn 0.2187 0.2500 0.1250 (multiplicity 8)  2 Se 2.54
2 In 0.0000 0.0000 0.5000 (multiplicity 4)  4 Mn 2.85, 2 Se 3.04
3 Se 0.0000 0.0000 0.0000 (multiplicity 4)  4 Mn 2.54